[1]
A relaxed LiZr2Pt2 crystal, computed with PBE.

Output
- energy relative to the lowest polymorph listed for this composition (meV/atom) = 176.7
- energy of formation from the pure elements (eV per atom) = -0.629
- size of the total moment (Bohr magnetons per cell) = 0.0
- density (g/cm3) = 8.5
- VASP energy (eV per atom) = -6.8473

a b c (Å): 6.1390 6.1390 6.1390
angles (deg): 135.33 135.33 65.02
Closest atoms and distances in Å follow each position.
Fractional coordinates of all 5 atoms:
Li 0.0000 0.0000 0.0000  8 Zr 3.48, 8 Pt 3.54
Zr 0.2500 0.7500 0.5000  4 Pt 2.68
Zr 0.7500 0.2500 0.5000  4 Pt 2.68
Pt 0.3771 0.3771 0.0000  1 Pt 2.55, 4 Zr 2.68
Pt 0.6229 0.6229 0.0000  1 Pt 2.55, 4 Zr 2.68

***

[2]
A relaxed NaCo2C2 crystal, computed with PBE.

Output
- energy relative to the lowest polymorph listed for this composition (meV/atom) = 718.7
- energy of formation from the pure elements (eV per atom) = 0.980
- size of the total moment (Bohr magnetons per cell) = 0.0
- density (g/cm3) = 5.7
- VASP energy (eV per atom) = -5.8157

a b c (Å): 6.1515 6.1515 2.5523
angles (deg): 90.00 90.00 90.00
Closest atoms and distances in Å follow each position.
Fractional coordinates of all 10 atoms:
Na 0.0000 0.0000 0.0000  4 C 2.44, 2 Na 2.55, 8 Co 2.72
Na 0.5000 0.5000 0.0000  4 C 2.44, 2 Na 2.55, 8 Co 2.72
Co 0.1316 0.3684 0.5000  4 C 2.02
Co 0.3684 0.8684 0.5000  4 C 2.02
Co 0.6316 0.1316 0.5000  4 C 2.02
Co 0.8684 0.6316 0.5000  4 C 2.02
C 0.1223 0.6223 0.0000  4 Co 2.02, 1 C 2.13
C 0.3777 0.1223 0.0000  4 Co 2.02, 1 C 2.13
C 0.6223 0.8777 0.0000  4 Co 2.02, 1 C 2.13
C 0.8777 0.3777 0.0000  4 Co 2.02, 1 C 2.13

***

[3]
A relaxed Li5Be3Ni12 crystal, computed with PBE.

Output
- energy of formation from the pure elements (eV per atom) = 0.546
- size of the total moment (Bohr magnetons per cell) = 9.0
- density (g/cm3) = 4.7
- VASP energy (eV per atom) = -3.9605

a b c (Å): 11.1917 11.1917 11.1917
angles (deg): 109.47 109.47 109.47
Closest atoms and distances in Å follow each position.
Fractional coordinates of all 80 atoms:
Li 0.0000 0.0000 0.0000  6 Ni 2.23
Li 0.0000 0.0000 0.5000  6 Ni 2.23
Li 0.0000 0.5000 0.0000  6 Ni 2.23
Li 0.0000 0.5000 0.5000  6 Ni 2.23
Li 0.1250 0.7500 0.8750  4 Ni 2.35
Li 0.1250 0.8750 0.2500  4 Ni 2.35
Li 0.2500 0.1250 0.8750  4 Ni 2.35
Li 0.2500 0.6250 0.3750  4 Ni 2.35
Li 0.3750 0.2500 0.6250  4 Ni 2.35
Li 0.3750 0.6250 0.7500  4 Ni 2.35
Li 0.5000 0.0000 0.0000  6 Ni 2.23
Li 0.5000 0.0000 0.5000  6 Ni 2.23
Li 0.5000 0.5000 0.0000  6 Ni 2.23
Li 0.5000 0.5000 0.5000  6 Ni 2.23
Li 0.6250 0.3750 0.2500  4 Ni 2.35
Li 0.6250 0.7500 0.3750  4 Ni 2.35
Li 0.7500 0.3750 0.6250  4 Ni 2.35
Li 0.7500 0.8750 0.1250  4 Ni 2.35
Li 0.8750 0.1250 0.7500  4 Ni 2.35
Li 0.8750 0.2500 0.1250  4 Ni 2.35
Be 0.1250 0.2500 0.3750  4 Ni 2.02
Be 0.1250 0.3750 0.7500  4 Ni 2.02
Be 0.2500 0.3750 0.1250  4 Ni 2.02
Be 0.2500 0.8750 0.6250  4 Ni 2.02
Be 0.3750 0.1250 0.2500  4 Ni 2.02
Be 0.3750 0.7500 0.1250  4 Ni 2.02
Be 0.6250 0.2500 0.8750  4 Ni 2.02
Be 0.6250 0.8750 0.7500  4 Ni 2.02
Be 0.7500 0.1250 0.3750  4 Ni 2.02
Be 0.7500 0.6250 0.8750  4 Ni 2.02
Be 0.8750 0.6250 0.2500  4 Ni 2.02
Be 0.8750 0.7500 0.6250  4 Ni 2.02
Ni 0.0475 0.6297 0.3915  1 Be 2.02, 1 Li 2.23
Ni 0.0475 0.9178 0.6560  1 Be 2.02, 1 Li 2.23
Ni 0.0822 0.2382 0.1297  1 Be 2.02, 1 Li 2.23
Ni 0.0822 0.3440 0.9525  1 Be 2.02, 1 Li 2.23
Ni 0.1085 0.7382 0.6560  1 Be 2.02, 1 Li 2.23
Ni 0.1085 0.8703 0.4525  1 Be 2.02, 1 Li 2.23
Ni 0.1297 0.0822 0.2382  1 Be 2.02, 1 Li 2.23
Ni 0.1297 0.5475 0.8915  1 Be 2.02, 1 Li 2.23
Ni 0.1560 0.2382 0.6085  1 Be 2.02, 1 Li 2.23
Ni 0.1560 0.4178 0.5475  1 Be 2.02, 1 Li 2.23
Ni 0.2382 0.1297 0.0822  1 Be 2.02, 1 Li 2.23
Ni 0.2382 0.6085 0.1560  1 Be 2.02, 1 Li 2.23
Ni 0.2618 0.3440 0.8915  1 Be 2.02, 1 Li 2.23
Ni 0.2618 0.4178 0.3703  1 Be 2.02, 1 Li 2.23
Ni 0.3440 0.8915 0.2618  1 Be 2.02, 1 Li 2.23
Ni 0.3440 0.9525 0.0822  1 Be 2.02, 1 Li 2.23
Ni 0.3703 0.2618 0.4178  1 Be 2.02, 1 Li 2.23
Ni 0.3703 0.6085 0.9525  1 Be 2.02, 1 Li 2.23
Ni 0.3915 0.0475 0.6297  1 Be 2.02, 1 Li 2.23
Ni 0.3915 0.8440 0.7618  1 Be 2.02, 1 Li 2.23
Ni 0.4178 0.3703 0.2618  1 Be 2.02, 1 Li 2.23
Ni 0.4178 0.5475 0.1560  1 Be 2.02, 1 Li 2.23
Ni 0.4525 0.1085 0.8703  1 Be 2.02, 1 Li 2.23
Ni 0.4525 0.8440 0.5822  1 Be 2.02, 1 Li 2.23
Ni 0.5475 0.1560 0.4178  1 Be 2.02, 1 Li 2.23
Ni 0.5475 0.8915 0.1297  1 Be 2.02, 1 Li 2.23
Ni 0.5822 0.4525 0.8440  1 Be 2.02, 1 Li 2.23
Ni 0.5822 0.6297 0.7382  1 Be 2.02, 1 Li 2.23
Ni 0.6085 0.1560 0.2382  1 Be 2.02, 1 Li 2.23
Ni 0.6085 0.9525 0.3703  1 Be 2.02, 1 Li 2.23
Ni 0.6297 0.3915 0.0475  1 Be 2.02, 1 Li 2.23
Ni 0.6297 0.7382 0.5822  1 Be 2.02, 1 Li 2.23
Ni 0.6560 0.0475 0.9178  1 Be 2.02, 1 Li 2.23
Ni 0.6560 0.1085 0.7382  1 Be 2.02, 1 Li 2.23
Ni 0.7382 0.5822 0.6297  1 Be 2.02, 1 Li 2.23
Ni 0.7382 0.6560 0.1085  1 Be 2.02, 1 Li 2.23
Ni 0.7618 0.3915 0.8440  1 Be 2.02, 1 Li 2.23
Ni 0.7618 0.8703 0.9178  1 Be 2.02, 1 Li 2.23
Ni 0.8440 0.5822 0.4525  1 Be 2.02, 1 Li 2.23
Ni 0.8440 0.7618 0.3915  1 Be 2.02, 1 Li 2.23
Ni 0.8703 0.4525 0.1085  1 Be 2.02, 1 Li 2.23
Ni 0.8703 0.9178 0.7618  1 Be 2.02, 1 Li 2.23
Ni 0.8915 0.1297 0.5475  1 Be 2.02, 1 Li 2.23
Ni 0.8915 0.2618 0.3440  1 Be 2.02, 1 Li 2.23
Ni 0.9178 0.6560 0.0475  1 Be 2.02, 1 Li 2.23
Ni 0.9178 0.7618 0.8703  1 Be 2.02, 1 Li 2.23
Ni 0.9525 0.0822 0.3440  1 Be 2.02, 1 Li 2.23
Ni 0.9525 0.3703 0.6085  1 Be 2.02, 1 Li 2.23

***

[4]
A relaxed BaScTa crystal, computed with PBE.

Output
- energy relative to the lowest polymorph listed for this composition (meV/atom) = 120.7
- energy of formation from the pure elements (eV per atom) = 0.717
- size of the total moment (Bohr magnetons per cell) = 0.0
- density (g/cm3) = 7.4
- VASP energy (eV per atom) = -5.9852

a b c (Å): 3.2818 3.2818 8.7601
angles (deg): 90.00 90.00 120.00
Closest atoms and distances in Å follow each position.
Fractional coordinates of all 3 atoms:
Ba 0.0000 0.0000 0.0000  6 Ba 3.28, 3 Ta 3.55
Sc 0.3333 0.6667 0.3976  3 Ta 2.96, 6 Sc 3.28
Ta 0.6667 0.3333 0.6568  3 Sc 2.96, 6 Ta 3.28

***

[5]
A relaxed DyThPt2 crystal, computed with PBE.

Output
- energy relative to the lowest polymorph listed for this composition (meV/atom) = 6.4
- energy of formation from the pure elements (eV per atom) = -1.278
- size of the total moment (Bohr magnetons per cell) = 0.0
- density (g/cm3) = 13.9
- VASP energy (eV per atom) = -7.3040

a b c (Å): 3.8293 4.4878 5.7817
angles (deg): 90.00 109.23 90.00
Closest atoms and distances in Å follow each position.
Fractional coordinates of all 4 atoms:
Dy 0.0000 0.0000 0.0000  7 Pt 2.92-3.18
Th 0.2748 0.5000 0.5508  7 Pt 2.96-3.15
Pt 0.5461 0.5000 0.0930  3 Th 2.96-3.15, 4 Dy 2.99, 2 Pt 3.03
Pt 0.7322 0.0000 0.4651  3 Dy 2.92-3.18, 4 Th 2.99, 2 Pt 3.03

***

[6]
A relaxed UZnPdRu crystal, computed with PBE.

Output
- energy of formation from the pure elements (eV per atom) = -0.219
- size of the total moment (Bohr magnetons per cell) = 1.8
- density (g/cm3) = 12.2
- VASP energy (eV per atom) = -6.9771

a b c (Å): 4.6209 4.6209 4.6209
angles (deg): 60.00 60.00 60.00
Closest atoms and distances in Å follow each position.
Fractional coordinates of all 4 atoms:
U 0.0000 0.0000 0.0000  4 Ru 2.83, 4 Pd 2.83
Zn 0.5000 0.5000 0.5000  4 Ru 2.83, 4 Pd 2.83
Pd 0.2500 0.2500 0.2500  4 Zn 2.83, 4 U 2.83
Ru 0.7500 0.7500 0.7500  4 Zn 2.83, 4 U 2.83

***

[7]
A relaxed PrBeAsO crystal, computed with PBE.

Output
- size of the total moment (Bohr magnetons per cell) = 0.0
- density (g/cm3) = 5.7
- VASP energy (eV per atom) = -6.3811

a b c (Å): 3.9830 3.9830 10.2887
angles (deg): 90.00 90.00 120.00
Closest atoms and distances in Å follow each position.
Fractional coordinates of all 8 atoms:
Pr 0.3333 0.6667 0.0000  3 O 2.41
Pr 0.6667 0.3333 0.5000  3 O 2.41
Be 0.0000 0.0000 0.2238  1 O 1.58
Be 0.0000 0.0000 0.7238  1 O 1.58
As 0.3333 0.6667 0.2979  3 Be 2.42
As 0.6667 0.3333 0.7979  3 Be 2.42
O 0.0000 0.0000 0.0702  1 Be 1.58
O 0.0000 0.0000 0.5702  1 Be 1.58

***

[8]
A relaxed TmTh2CrC4 crystal, computed with PBE.

Output
- energy of formation from the pure elements (eV per atom) = 0.006
- size of the total moment (Bohr magnetons per cell) = 0.0
- density (g/cm3) = 9.1
- VASP energy (eV per atom) = -8.2225

a b c (Å): 6.1449 6.1449 12.6795
angles (deg): 90.00 90.00 146.05
Closest atoms and distances in Å follow each position.
Fractional coordinates of all 16 atoms:
Tm 0.1105 0.8895 0.7500  4 C 2.65
Tm 0.8895 0.1105 0.2500  4 C 2.65
Th 0.3652 0.6348 0.5450  6 C 2.46-2.71
Th 0.3652 0.6348 0.9550  6 C 2.46-2.71
Th 0.6348 0.3652 0.0450  6 C 2.46-2.71
Th 0.6348 0.3652 0.4550  6 C 2.46-2.71
Cr 0.1740 0.8260 0.2500  4 C 1.81-2.01
Cr 0.8260 0.1740 0.7500  4 C 1.81-2.01
C 0.0000 0.0000 0.0000  4 Th 2.46
C 0.0000 0.0000 0.5000  4 Th 2.46
C 0.2732 0.7268 0.1407  1 Cr 1.81
C 0.2732 0.7268 0.3593  1 Cr 1.81
C 0.4022 0.5978 0.7500  2 Cr 2.01
C 0.5978 0.4022 0.2500  2 Cr 2.01
C 0.7268 0.2732 0.6407  1 Cr 1.81
C 0.7268 0.2732 0.8593  1 Cr 1.81